HgS4Br | the Alexandria database | GGA-PBE | relaxed; ΔE_f (raw) = 129 meV per atom
1.0
3.478 1.487 1.326
4.293 7.241 4.928
1.060 2.235 22.072
S Hg Br
8 2 2
Cartesian
4.589 6.878 23.603
1.679 1.893 10.937
5.259 8.187 24.820
5.438 5.630 15.087
3.394 5.332 13.238
4.243 4.084 4.722
7.153 9.070 17.389
3.573 2.776 3.506
6.139 8.038 11.300
2.693 2.925 17.025
3.975 4.413 8.832
4.857 6.550 19.494

=====

Entry from the Alexandria database: crystalline Li2H3Rh at its relaxed geometry (GGA-PBE).

Structure (POSCAR):
```
Li2H3Rh
1.0
0.441 -2.828 -0.365
1.979 -0.106 3.217
-4.795 0.645 0.752
H Li Rh
3 2 1
Cartesian
-1.431 -2.067 3.031
1.210 -1.467 1.426
-0.944 -0.222 0.573
-0.177 -0.323 2.318
-2.197 -1.966 1.287
0.221 -1.414 -0.182
```

=====

Ba2SrLiC | the Alexandria database | GGA-PBE | relaxed; ΔH_f (0 K) = 7.12 eV per formula unit
1.0
-1.802 5.108 3.167
-4.908 -3.005 2.054
3.274 -1.938 4.989
Ba Sr Li C
2 1 1 1
Cartesian
-0.901 2.554 1.584
1.637 -0.969 2.494
-2.454 -1.502 1.027
0.000 0.000 0.000
-1.718 0.082 5.105

=====

Sc2In | the Alexandria database | GGA-PBE | relaxed; ΔH_f (0 K) = -0.97 eV per formula unit
1.0
-4.769 -6.148 3.087
-0.192 1.738 -8.186
2.603 -2.294 -0.548
Sc In
6 3
Cartesian
-1.666 -4.973 1.647
-3.526 -3.134 -3.624
-0.056 0.503 -2.369
-0.573 -2.813 -2.200
-1.380 -1.779 0.893
1.182 -0.066 -5.368
-3.243 -3.519 -0.671
-1.718 -0.891 -4.429
1.301 -1.147 -0.274

=====

Y2Sc2Hg | the Alexandria database | GGA-PBE | relaxed; ΔH_f (0 K) = -0.30 eV per formula unit
1.0
7.428 0.000 0.000
0.000 7.428 0.000
0.000 0.000 5.000
Sc Y Hg
4 4 2
Cartesian
4.784 1.070 0.000
1.070 2.644 0.000
2.644 6.358 0.000
6.358 4.784 0.000
2.533 1.181 2.500
1.181 4.895 2.500
4.895 6.247 2.500
6.247 2.533 2.500
3.714 3.714 0.000
0.000 0.000 0.000

=====

LiCe2Pr | the Alexandria database | GGA-PBE | relaxed; energy above the most stable polymorph in this dataset = 0.053 eV per atom; ΔH_f (0 K) = 1.12 eV per formula unit
1.0
-0.066 2.607 2.072
-2.443 0.280 2.247
6.029 -5.430 9.700
Ce Pr Li
2 1 1
Cartesian
-0.739 1.239 6.449
4.259 -3.781 7.570
1.760 -1.271 7.010
0.000 0.000 0.000

=====

Pr4Y2HoEr2 | the Alexandria database | GGA-PBE | relaxed; ΔH_f (0 K) = 0.20 eV per formula unit
1.0
-5.089 -0.059 0.409
3.116 -3.973 6.327
0.055 7.878 1.822
Y Pr Er Ho
2 4 2 1
Cartesian
-2.298 6.510 4.205
0.381 -2.663 4.354
-2.190 3.004 5.038
0.547 1.692 7.048
0.273 0.843 3.520
-2.465 2.155 1.510
-2.081 -0.537 5.891
0.164 4.384 2.668
0.000 0.000 0.000

=====

LiMg2Co | the Alexandria database | GGA-PBE | relaxed; ΔH_f (0 K) = 0.68 eV per formula unit
1.0
-3.508 1.194 3.495
-3.853 -3.314 0.344
5.080 -0.371 -0.026
Mg Li Co
2 1 1
Cartesian
0.000 0.000 0.000
-1.226 -2.372 1.119
-1.054 -0.118 2.694
-3.680 -1.060 1.920

=====

ThP2Ru4 | the Alexandria database | GGA-PBE | relaxed; energy above the most stable polymorph in this dataset = 0.000 eV per atom; ΔH_f (0 K) = -4.91 eV per formula unit
1.0
3.820 0.000 0.000
0.000 7.586 0.000
0.000 0.000 7.586
Ru P Th
8 4 2
Cartesian
1.910 6.364 3.233
1.910 3.233 6.364
0.000 0.560 2.571
0.000 2.571 0.560
1.910 4.353 1.221
0.000 7.026 5.014
1.910 1.221 4.353
0.000 5.014 7.026
1.910 2.076 2.076
0.000 5.869 1.717
1.910 5.510 5.510
0.000 1.717 5.869
1.910 0.000 0.000
0.000 3.793 3.793

=====

Th2CdC | the Alexandria database | GGA-PBE | relaxed; ΔH_f (0 K) = -0.89 eV per formula unit
1.0
-2.231 2.915 -0.417
-3.230 0.126 1.790
1.950 4.835 6.992
Th C Cd
2 1 1
Cartesian
-2.338 6.207 6.786
-1.173 1.669 1.579
0.000 0.000 0.000
-1.756 3.938 4.182

=====

NdThCu3 | the Alexandria database | GGA-PBE | relaxed; ΔH_f (0 K) = -0.90 eV per formula unit
1.0
3.539 0.000 -0.487
0.000 4.371 0.000
0.079 0.000 13.673
Cu Th Nd
6 2 2
Cartesian
1.237 3.278 8.984
1.764 1.093 12.815
2.197 3.278 2.861
1.854 3.278 0.371
1.422 1.093 10.325
2.382 1.093 4.202
3.360 3.278 11.308
0.259 1.093 1.878
2.866 1.093 7.722
0.752 3.278 5.464

=====

Ba2MgAlSe5 | the Alexandria database | GGA-PBE | relaxed; ΔE_f (raw) = -1363 meV per atom
1.0
-4.124 -0.714 0.126
3.436 -6.433 6.414
-1.248 8.900 9.595
Se Ba Mg Al
10 4 2 2
Cartesian
0.001 1.786 10.135
-2.277 2.089 6.863
0.094 -0.357 1.039
-2.637 4.886 10.955
-3.029 6.563 7.617
0.379 -0.839 7.651
0.953 -4.696 4.571
-1.502 -1.653 11.039
1.012 -4.227 9.146
-1.699 -1.731 4.169
-1.260 -3.803 6.776
-2.057 1.846 12.702
-0.525 4.478 8.197
-0.041 1.065 4.682
-1.918 0.363 8.830
0.550 -2.655 2.944
-3.043 7.052 9.939
0.641 -1.972 9.782

=====

| no. | total moment (μB/cell) | uncorrected energy (eV per atom) |
| --- | --- | --- |
| 1 | 0.0 | -2.952 |
| 2 | 0.0 | -3.967 |
| 3 | 2.2 | -1.909 |
| 4 | 2.6 | -5.457 |
| 5 | 0.0 | -5.238 |
| 6 | 2.1 | -4.361 |
| 7 | 0.0 | -5.061 |
| 8 | 0.9 | -2.881 |
| 9 | 0.0 | -8.607 |
| 10 | 0.0 | -6.468 |
| 11 | 0.0 | -5.075 |
| 12 | 0.0 | -4.319 |